Record 1
DFT (GGA-PBE) results for Dy2UAl2Ru5 after structural relaxation.

a = 10.139 Å, b = 10.139 Å, c = 3.389 Å
α = 90.00°, β = 90.00°, γ = 90.00°
Element x y z (fractional)
Dy 0.169 0.331 0.000
Dy 0.331 0.831 0.000
Dy 0.669 0.169 0.000
Dy 0.831 0.669 0.000
U 0.000 0.000 0.000
U 0.500 0.500 0.000
Al 0.127 0.627 0.000
Al 0.373 0.127 0.000
Al 0.627 0.873 0.000
Al 0.873 0.373 0.000
Ru 0.000 0.500 0.500
Ru 0.068 0.801 0.500
Ru 0.199 0.068 0.500
Ru 0.301 0.568 0.500
Ru 0.432 0.301 0.500
Ru 0.500 0.000 0.500
Ru 0.568 0.699 0.500
Ru 0.699 0.432 0.500
Ru 0.801 0.932 0.500
Ru 0.932 0.199 0.500

Summary:
**SG**: P4/mbm (127)
**Formation enthalpy at 0 K**: -536 meV/atom



Record 2
DFT (GGA-PBE) results for Dy2Al2Ru5W after structural relaxation.

a = 10.146 Å, b = 10.146 Å, c = 3.244 Å
α = 90.00°, β = 90.00°, γ = 90.00°
Element x y z (fractional)
Dy 0.172 0.328 0.000
Dy 0.328 0.828 0.000
Dy 0.672 0.172 0.000
Dy 0.828 0.672 0.000
Al 0.127 0.627 0.000
Al 0.373 0.127 0.000
Al 0.627 0.873 0.000
Al 0.873 0.373 0.000
Ru 0.000 0.500 0.500
Ru 0.065 0.803 0.500
Ru 0.197 0.065 0.500
Ru 0.303 0.565 0.500
Ru 0.435 0.303 0.500
Ru 0.500 0.000 0.500
Ru 0.565 0.697 0.500
Ru 0.697 0.435 0.500
Ru 0.803 0.935 0.500
Ru 0.935 0.197 0.500
W 0.000 0.000 0.000
W 0.500 0.500 0.000

Summary:
**SG**: P4/mbm (127)
**Formation enthalpy at 0 K**: -383 meV/atom



Record 3
DFT (GGA-PBE) results for DyZrAlRu after structural relaxation.

a = 6.835 Å, b = 6.835 Å, c = 6.835 Å
α = 90.00°, β = 90.00°, γ = 90.00°
Element x y z (fractional)
Dy 0.000 0.000 0.000
Dy 0.000 0.500 0.500
Dy 0.500 0.000 0.500
Dy 0.500 0.500 0.000
Zr 0.000 0.000 0.500
Zr 0.000 0.500 0.000
Zr 0.500 0.000 0.000
Zr 0.500 0.500 0.500
Al 0.250 0.250 0.750
Al 0.250 0.750 0.250
Al 0.750 0.250 0.250
Al 0.750 0.750 0.750
Ru 0.250 0.250 0.250
Ru 0.250 0.750 0.750
Ru 0.750 0.250 0.750
Ru 0.750 0.750 0.250

Summary:
**SG**: F-43m (216)
**Formation enthalpy at 0 K**: -339 meV/atom



Record 4
DFT (GGA-PBE) results for Dy2Al2S7 after structural relaxation.

a = 7.051 Å, b = 7.051 Å, c = 6.570 Å
α = 101.89°, β = 101.89°, γ = 111.88°
Element x y z (fractional)
Dy 0.188 0.812 0.000
Dy 0.812 0.188 0.000
Al 0.268 0.268 0.638
Al 0.732 0.732 0.362
S 0.069 0.398 0.782
S 0.172 0.172 0.267
S 0.398 0.069 0.782
S 0.500 0.500 0.500
S 0.602 0.931 0.218
S 0.828 0.828 0.733
S 0.931 0.602 0.218

Summary:
**SG**: C2/m (12)
**Uncorrected formation energy**: -1.27 eV per atom



Record 5
DFT (GGA-PBE) results for Dy2AlS5 after structural relaxation.

a = 7.096 Å, b = 7.096 Å, c = 11.652 Å
α = 90.00°, β = 90.00°, γ = 136.27°
Element x y z (fractional)
Dy 0.154 0.846 0.568
Dy 0.154 0.846 0.932
Dy 0.846 0.154 0.068
Dy 0.846 0.154 0.432
Al 0.192 0.808 0.250
Al 0.808 0.192 0.750
S 0.041 0.959 0.131
S 0.041 0.959 0.369
S 0.282 0.718 0.750
S 0.306 0.694 0.094
S 0.306 0.694 0.406
S 0.694 0.306 0.594
S 0.694 0.306 0.906
S 0.718 0.282 0.250
S 0.959 0.041 0.631
S 0.959 0.041 0.869

Summary:
**SG**: Cmcm (63)
**Uncorrected formation energy**: -1.42 eV per atom



Record 6
DFT (GGA-PBE) results for Dy5AlS4 after structural relaxation.

a = 6.938 Å, b = 6.938 Å, c = 9.900 Å
α = 118.63°, β = 118.63°, γ = 32.61°
Element x y z (fractional)
Dy 0.000 0.000 0.000
Dy 0.199 0.199 0.805
Dy 0.392 0.392 0.604
Dy 0.608 0.608 0.396
Dy 0.801 0.801 0.195
Al 0.000 0.000 0.500
S 0.200 0.200 0.291
S 0.401 0.401 0.096
S 0.599 0.599 0.904
S 0.800 0.800 0.709

Summary:
**SG**: C2/m (12)
**Uncorrected formation energy**: -1.63 eV per atom



Record 7
DFT (GGA-PBE) results for Dy3AlS after structural relaxation.

a = 5.128 Å, b = 5.128 Å, c = 5.128 Å
α = 90.00°, β = 90.00°, γ = 90.00°
Element x y z (fractional)
Dy 0.000 0.000 0.500
Dy 0.000 0.500 0.000
Dy 0.500 0.000 0.000
Al 0.500 0.500 0.500
S 0.000 0.000 0.000

Summary:
**SG**: Pm-3m (221)
**Uncorrected formation energy**: -0.73 eV per atom



Record 8
DFT (GGA-PBE) results for Dy3AlS6 after structural relaxation.

a = 8.538 Å, b = 8.538 Å, c = 6.452 Å
α = 90.00°, β = 90.00°, γ = 102.40°
Element x y z (fractional)
Dy 0.099 0.901 0.500
Dy 0.215 0.416 0.413
Dy 0.416 0.215 0.913
Dy 0.584 0.785 0.413
Dy 0.785 0.584 0.913
Dy 0.901 0.099 0.000
Al 0.300 0.700 0.872
Al 0.700 0.300 0.372
S 0.069 0.602 0.700
S 0.134 0.191 0.707
S 0.191 0.134 0.207
S 0.283 0.717 0.221
S 0.398 0.931 0.700
S 0.458 0.542 0.733
S 0.542 0.458 0.233
S 0.602 0.069 0.200
S 0.717 0.283 0.721
S 0.809 0.866 0.707
S 0.866 0.809 0.207
S 0.931 0.398 0.200

Summary:
**SG**: Cmc2_1 (36)
**Uncorrected formation energy**: -1.84 eV per atom



Record 9
DFT (GGA-PBE) results for Dy6AlS5 after structural relaxation.

a = 6.870 Å, b = 6.870 Å, c = 6.866 Å
α = 99.57°, β = 99.57°, γ = 119.72°
Element x y z (fractional)
Dy 0.078 0.416 0.748
Dy 0.246 0.246 0.251
Dy 0.416 0.078 0.748
Dy 0.584 0.922 0.252
Dy 0.754 0.754 0.749
Dy 0.922 0.584 0.252
Al 0.500 0.500 0.000
S 0.000 0.000 0.500
S 0.167 0.833 0.000
S 0.334 0.666 0.500
S 0.666 0.334 0.500
S 0.833 0.167 0.000

Summary:
**SG**: C2/m (12)
**Uncorrected formation energy**: -1.69 eV per atom



Record 10
DFT (GGA-PBE) results for Dy4AlS3 after structural relaxation.

a = 8.147 Å, b = 11.359 Å, c = 3.900 Å
α = 90.00°, β = 90.00°, γ = 90.00°
Element x y z (fractional)
Dy 0.000 0.248 0.000
Dy 0.000 0.752 0.000
Dy 0.240 0.000 0.500
Dy 0.260 0.500 0.500
Dy 0.500 0.252 0.000
Dy 0.500 0.748 0.000
Dy 0.740 0.500 0.500
Dy 0.760 0.000 0.500
Al 0.000 0.500 0.000
Al 0.500 0.000 0.000
S 0.000 0.000 0.000
S 0.250 0.250 0.500
S 0.250 0.750 0.500
S 0.500 0.500 0.000
S 0.750 0.250 0.500
S 0.750 0.750 0.500

Summary:
**SG**: Cmmm (65)
**Uncorrected formation energy**: -1.52 eV per atom



Record 11
DFT (GGA-PBE) results for DyAl6S8 after structural relaxation.

a = 6.661 Å, b = 6.661 Å, c = 6.661 Å
α = 93.79°, β = 93.79°, γ = 93.79°
Element x y z (fractional)
Dy 0.000 0.000 0.000
Al 0.248 0.613 0.340
Al 0.340 0.248 0.613
Al 0.387 0.660 0.752
Al 0.613 0.340 0.248
Al 0.660 0.752 0.387
Al 0.752 0.387 0.660
S 0.087 0.375 0.792
S 0.208 0.913 0.625
S 0.263 0.263 0.263
S 0.375 0.792 0.087
S 0.625 0.208 0.913
S 0.737 0.737 0.737
S 0.792 0.087 0.375
S 0.913 0.625 0.208

Summary:
**SG**: R-3 (148)
**Uncorrected formation energy**: -0.84 eV per atom



Record 12
DFT (GGA-PBE) results for Dy2AlS4 after structural relaxation.

a = 13.363 Å, b = 3.814 Å, c = 6.863 Å
α = 90.00°, β = 119.42°, γ = 90.00°
Element x y z (fractional)
Dy 0.222 0.000 0.210
Dy 0.278 0.500 0.790
Dy 0.722 0.500 0.210
Dy 0.778 0.000 0.790
Al 0.000 0.500 0.500
Al 0.500 0.000 0.500
S 0.109 0.500 0.905
S 0.123 0.000 0.483
S 0.377 0.500 0.517
S 0.391 0.000 0.095
S 0.609 0.000 0.905
S 0.623 0.500 0.483
S 0.877 0.000 0.517
S 0.891 0.500 0.095

Summary:
**SG**: C2/m (12)
**Uncorrected formation energy**: -1.58 eV per atom



Record 13
DFT (GGA-PBE) results for DyAlS after structural relaxation.

a = 8.771 Å, b = 8.771 Å, c = 8.771 Å
α = 29.11°, β = 29.11°, γ = 29.11°
Element x y z (fractional)
Dy 0.092 0.092 0.092
Dy 0.908 0.908 0.908
Al 0.336 0.336 0.336
Al 0.664 0.664 0.664
S 0.207 0.207 0.207
S 0.793 0.793 0.793

Summary:
**SG**: R-3m (166)
**Uncorrected formation energy**: -1.07 eV per atom



Record 14
DFT (GGA-PBE) results for Dy6AlSe3S2 after structural relaxation.

a = 9.133 Å, b = 9.133 Å, c = 8.290 Å
α = 104.13°, β = 104.13°, γ = 24.97°
Element x y z (fractional)
Dy 0.004 0.004 0.253
Dy 0.329 0.329 0.430
Dy 0.335 0.335 0.906
Dy 0.665 0.665 0.094
Dy 0.671 0.671 0.570
Dy 0.996 0.996 0.747
Al 0.500 0.500 0.000
Se 0.168 0.168 0.829
Se 0.500 0.500 0.500
Se 0.832 0.832 0.171
S 0.169 0.169 0.336
S 0.831 0.831 0.664

Summary:
**SG**: C2/m (12)
**Uncorrected formation energy**: -1.58 eV per atom



Record 15
DFT (GGA-PBE) results for Dy6AlSe2S3 after structural relaxation.

a = 9.022 Å, b = 9.022 Å, c = 8.196 Å
α = 102.73°, β = 102.73°, γ = 25.13°
Element x y z (fractional)
Dy 0.002 0.002 0.240
Dy 0.333 0.333 0.428
Dy 0.340 0.340 0.906
Dy 0.660 0.660 0.094
Dy 0.667 0.667 0.572
Dy 0.998 0.998 0.760
Al 0.500 0.500 0.500
Se 0.170 0.170 0.840
Se 0.830 0.830 0.160
S 0.170 0.170 0.332
S 0.500 0.500 0.000
S 0.830 0.830 0.668

Summary:
**SG**: C2/m (12)
**Uncorrected formation energy**: -1.62 eV per atom



Record 16
DFT (GGA-PBE) results for DyAlTl2S4 after structural relaxation.

a = 8.145 Å, b = 8.145 Å, c = 8.145 Å
α = 122.07°, β = 118.09°, γ = 89.89°
Element x y z (fractional)
Dy 0.000 0.000 0.000
Dy 0.500 0.000 0.500
Al 0.500 0.000 0.000
Al 0.500 0.500 0.500
Tl 0.000 0.000 0.500
Tl 0.000 0.500 0.000
Tl 0.000 0.500 0.500
Tl 0.500 0.500 0.000
S 0.280 0.255 0.475
S 0.280 0.806 0.025
S 0.294 0.239 0.054
S 0.315 0.761 0.554
S 0.685 0.239 0.446
S 0.706 0.761 0.946
S 0.720 0.194 0.975
S 0.720 0.745 0.525

Summary:
**SG**: Imma (74)
**Uncorrected formation energy**: -0.98 eV per atom



Record 17
DFT (GGA-PBE) results for Dy3AlTl3S8 after structural relaxation.

a = 7.876 Å, b = 7.876 Å, c = 8.663 Å
α = 117.11°, β = 117.11°, γ = 59.99°
Element x y z (fractional)
Dy 0.000 0.000 0.000
Dy 0.000 0.500 0.000
Dy 0.500 0.000 0.000
Al 0.500 0.500 0.000
Tl 0.000 0.500 0.500
Tl 0.500 0.000 0.500
Tl 0.500 0.500 0.500
S 0.234 0.234 0.203
S 0.258 0.715 0.188
S 0.285 0.285 0.812
S 0.285 0.742 0.812
S 0.715 0.258 0.188
S 0.715 0.715 0.188
S 0.742 0.285 0.812
S 0.766 0.766 0.797

Summary:
**SG**: C2/m (12)
**Uncorrected formation energy**: -1.29 eV per atom



Record 18
DFT (GGA-PBE) results for Dy2AlTl3S6 after structural relaxation.

a = 6.764 Å, b = 6.764 Å, c = 7.835 Å
α = 98.30°, β = 98.30°, γ = 119.77°
Element x y z (fractional)
Dy 0.166 0.834 0.000
Dy 0.834 0.166 0.000
Al 0.500 0.500 0.000
Tl 0.000 0.000 0.500
Tl 0.328 0.672 0.500
Tl 0.672 0.328 0.500
S 0.135 0.438 0.815
S 0.257 0.257 0.195
S 0.438 0.135 0.815
S 0.562 0.865 0.185
S 0.743 0.743 0.805
S 0.865 0.562 0.185

Summary:
**SG**: C2/m (12)
**Uncorrected formation energy**: -1.22 eV per atom



Record 19
DFT (GGA-PBE) results for DyTm2AlS6 after structural relaxation.

a = 7.076 Å, b = 7.076 Å, c = 7.076 Å
α = 56.18°, β = 56.18°, γ = 56.18°
Element x y z (fractional)
Dy 0.000 0.000 0.000
Tm 0.295 0.295 0.295
Tm 0.799 0.799 0.799
Al 0.495 0.495 0.495
S 0.121 0.696 0.397
S 0.231 0.598 0.864
S 0.397 0.121 0.696
S 0.598 0.864 0.231
S 0.696 0.397 0.121
S 0.864 0.231 0.598

Summary:
**SG**: R3 (146)
**Uncorrected formation energy**: -1.75 eV per atom



Record 20
DFT (GGA-PBE) results for Dy2YAlS6 after structural relaxation.

a = 7.096 Å, b = 7.096 Å, c = 7.096 Å
α = 56.59°, β = 56.59°, γ = 56.59°
Element x y z (fractional)
Dy 0.000 0.000 0.000
Dy 0.497 0.497 0.497
Y 0.204 0.204 0.204
Al 0.699 0.699 0.699
S 0.062 0.437 0.808
S 0.332 0.903 0.594
S 0.437 0.808 0.062
S 0.594 0.332 0.903
S 0.808 0.062 0.437
S 0.903 0.594 0.332

Summary:
**SG**: R3 (146)
**Uncorrected formation energy**: -1.75 eV per atom